# MnCdIrO6 | Alexandria | GGA+U | optimized geometry
# Uncorrected energy   -5.977 eV per atom
# Spin magnetization   0.3815 μB per atom
data_MnCdIrO6
_chemical_formula_sum 'Mn2 Cd2 Ir2 O12'
_space_group_name_H-M_alt 'P -3 1 c'
_space_group_IT_number 163
_space_group_name_Hall '-P 3 2c'
_cell_length_a 5.3734
_cell_length_b 5.3734
_cell_length_c 8.5685
_cell_angle_alpha 90.00
_cell_angle_beta 90.00
_cell_angle_gamma 120.00
loop_
_atom_site_label
_atom_site_type_symbol
_atom_site_fract_x
_atom_site_fract_y
_atom_site_fract_z
_atom_site_occupancy
Mn1 Mn 0.0000 0.0000 0.0000 1
Cd1 Cd 0.3333 0.6667 0.2500 1
Ir1 Ir 0.3333 0.6667 0.7500 1
O1 O 0.0484 0.3647 0.6209 1